(1)
Hg2Se | PBE-GGA | relaxed Values from VASP.

Summary:
Its total magnetic moment is 0.00 μB/f.u. The space group is Cmcm, No. 63. The formation energy without anion corrections is 21 meV per atom. The offset from the most stable computed form comes out at 0.112 eV per atom.

Cell and atoms, written as Quantum ESPRESSO input:
```
&SYSTEM
  ibrav = 0, nat = 12, ntyp = 2
/
ATOMIC_SPECIES
Hg 200.59 Hg.upf
Se 78.96 Se.upf
CELL_PARAMETERS angstrom
4.017 0.000 0.000
0.000 21.413 0.000
0.000 0.000 3.888
ATOMIC_POSITIONS crystal
Hg 0.000 0.089 0.250
Hg 0.000 0.277 0.750
Hg 0.000 0.723 0.250
Hg 0.000 0.911 0.750
Hg 0.500 0.223 0.250
Hg 0.500 0.411 0.750
Hg 0.500 0.589 0.250
Hg 0.500 0.777 0.750
Se 0.000 0.407 0.250
Se 0.000 0.593 0.750
Se 0.500 0.093 0.750
Se 0.500 0.907 0.250
```

=====

(2)
TeP3 | PBE-GGA | relaxed Values from VASP.

Summary:
Its total magnetic moment is 0.00 μB/f.u. The space group is Cmmm, No. 65. The formation energy without anion corrections is 598 meV per atom. The offset from the most stable computed form comes out at 0.399 eV per atom.

Cell and atoms, written as Quantum ESPRESSO input:
```
&SYSTEM
  ibrav = 0, nat = 8, ntyp = 2
/
ATOMIC_SPECIES
Te 127.60 Te.upf
P 30.97 P.upf
CELL_PARAMETERS angstrom
3.342 0.000 0.000
0.000 7.609 0.000
0.000 0.000 7.426
ATOMIC_POSITIONS crystal
Te 0.000 0.000 0.000
Te 0.500 0.500 0.000
P 0.000 0.000 0.500
P 0.000 0.500 0.292
P 0.000 0.500 0.708
P 0.500 0.000 0.292
P 0.500 0.000 0.708
P 0.500 0.500 0.500
```

=====

(3)
Tl2ReAg | PBE-GGA | relaxed Values from VASP.

Summary:
Its total magnetic moment is 0.67 μB/f.u. The space group is P4/mmm, No. 123. The offset from the most stable computed form comes out at 0.116 eV per atom.

Cell and atoms, written as Quantum ESPRESSO input:
```
&SYSTEM
  ibrav = 0, nat = 4, ntyp = 3
/
ATOMIC_SPECIES
Tl 204.38 Tl.upf
Re 186.21 Re.upf
Ag 107.87 Ag.upf
CELL_PARAMETERS angstrom
3.013 0.000 0.000
0.000 3.013 0.000
0.000 0.000 9.125
ATOMIC_POSITIONS crystal
Tl 0.000 0.000 0.236
Tl 0.000 0.000 0.764
Re 0.500 0.500 0.000
Ag 0.500 0.500 0.500
```

=====

(4)
LiTl2GeCl6 | PBE-GGA | relaxed Values from VASP.

Summary:
Its total magnetic moment is 0.00 μB/f.u. The space group is P1, No. 1. The formation energy without anion corrections is -1036 meV per atom.

Cell and atoms, written as Quantum ESPRESSO input:
```
&SYSTEM
  ibrav = 0, nat = 10, ntyp = 4
/
ATOMIC_SPECIES
Li 6.94 Li.upf
Tl 204.38 Tl.upf
Ge 72.64 Ge.upf
Cl 35.45 Cl.upf
CELL_PARAMETERS angstrom
7.118 0.000 0.000
3.513 6.191 0.000
3.514 2.051 5.843
ATOMIC_POSITIONS crystal
Li 0.000 0.000 0.000
Tl 0.252 0.251 0.253
Tl 0.749 0.751 0.749
Ge 0.500 0.500 0.500
Cl 0.223 0.286 0.742
Cl 0.257 0.775 0.716
Cl 0.285 0.745 0.224
Cl 0.714 0.255 0.777
Cl 0.742 0.225 0.285
Cl 0.776 0.714 0.259
```

=====

(5)
LiZrZn | PBE-GGA | relaxed Values from VASP.

Summary:
Its total magnetic moment is 0.00 μB/f.u. The space group is P2_1/m, No. 11. The offset from the most stable computed form comes out at 0.000 eV per atom.

Cell and atoms, written as Quantum ESPRESSO input:
```
&SYSTEM
  ibrav = 0, nat = 6, ntyp = 3
/
ATOMIC_SPECIES
Li 6.94 Li.upf
Zr 91.22 Zr.upf
Zn 65.41 Zn.upf
CELL_PARAMETERS angstrom
3.148 0.000 0.000
0.000 3.148 0.000
-0.009 0.000 11.075
ATOMIC_POSITIONS crystal
Li 0.249 0.250 0.084
Li 0.751 0.750 0.916
Zr 0.250 0.250 0.397
Zr 0.750 0.750 0.603
Zn 0.251 0.250 0.778
Zn 0.749 0.750 0.222
```

=====

(6)
Na2ScAgCl6 | PBE-GGA | relaxed Values from VASP.

Summary:
Its total magnetic moment is 0.00 μB/f.u. The space group is P1, No. 1. The formation energy without anion corrections is -1654 meV per atom. The offset from the most stable computed form comes out at 0.000 eV per atom.

Cell and atoms, written as Quantum ESPRESSO input:
```
&SYSTEM
  ibrav = 0, nat = 10, ntyp = 4
/
ATOMIC_SPECIES
Na 22.99 Na.upf
Sc 44.96 Sc.upf
Ag 107.87 Ag.upf
Cl 35.45 Cl.upf
CELL_PARAMETERS angstrom
6.887 0.000 0.000
-3.435 5.978 0.000
-3.429 -2.001 6.088
ATOMIC_POSITIONS crystal
Na 0.000 0.000 0.000
Na 0.023 0.512 0.534
Sc 0.618 0.310 0.927
Ag 0.591 0.797 0.388
Cl 0.087 0.411 0.184
Cl 0.149 0.197 0.705
Cl 0.508 0.098 0.184
Cl 0.509 0.952 0.704
Cl 0.753 0.557 0.705
Cl 0.773 0.677 0.185
```

=====

(7)
ScZnSiPd | PBE-GGA | relaxed Values from VASP.

Summary:
Its total magnetic moment is 0.00 μB/f.u. The space group is F-43m, No. 216. The formation energy without anion corrections is -512 meV per atom.

Cell and atoms, written as Quantum ESPRESSO input:
```
&SYSTEM
  ibrav = 0, nat = 16, ntyp = 4
/
ATOMIC_SPECIES
Sc 44.96 Sc.upf
Zn 65.41 Zn.upf
Si 28.09 Si.upf
Pd 106.42 Pd.upf
CELL_PARAMETERS angstrom
6.326 0.000 0.000
0.000 6.326 0.000
0.000 0.000 6.326
ATOMIC_POSITIONS crystal
Sc 0.000 0.000 0.000
Sc 0.000 0.500 0.500
Sc 0.500 0.000 0.500
Sc 0.500 0.500 0.000
Zn 0.250 0.250 0.750
Zn 0.250 0.750 0.250
Zn 0.750 0.250 0.250
Zn 0.750 0.750 0.750
Si 0.250 0.250 0.250
Si 0.250 0.750 0.750
Si 0.750 0.250 0.750
Si 0.750 0.750 0.250
Pd 0.000 0.000 0.500
Pd 0.000 0.500 0.000
Pd 0.500 0.000 0.000
Pd 0.500 0.500 0.500
```

=====

(8)
VCdH | PBE-GGA | relaxed Values from VASP.

Summary:
Its total magnetic moment is 0.00 μB/f.u. The space group is Cm, No. 8. The offset from the most stable computed form comes out at 0.058 eV per atom.

Cell and atoms, written as Quantum ESPRESSO input:
```
&SYSTEM
  ibrav = 0, nat = 12, ntyp = 3
/
ATOMIC_SPECIES
V 50.94 V.upf
Cd 112.41 Cd.upf
H 1.01 H.upf
CELL_PARAMETERS angstrom
4.862 0.000 0.000
0.000 3.086 0.000
-0.917 0.000 9.865
ATOMIC_POSITIONS crystal
V 0.000 0.000 0.000
V 0.234 0.500 0.786
V 0.500 0.500 0.000
V 0.734 0.000 0.786
Cd 0.152 0.500 0.241
Cd 0.362 0.000 0.516
Cd 0.652 0.000 0.241
Cd 0.862 0.500 0.516
H 0.068 0.000 0.722
H 0.391 0.000 0.888
H 0.568 0.500 0.722
H 0.891 0.500 0.888
```

=====

(9)
Ac4Si2Cl | PBE-GGA | relaxed Values from VASP.

Summary:
Its total magnetic moment is 0.00 μB/f.u. The space group is I-42d, No. 122. The formation energy without anion corrections is -765 meV per atom. The offset from the most stable computed form comes out at 0.000 eV per atom.

Cell and atoms, written as Quantum ESPRESSO input:
```
&SYSTEM
  ibrav = 0, nat = 14, ntyp = 3
/
ATOMIC_SPECIES
Ac 227.00 Ac.upf
Si 28.09 Si.upf
Cl 35.45 Cl.upf
CELL_PARAMETERS angstrom
-4.731 4.731 4.959
4.731 -4.731 4.959
4.731 4.731 -4.959
ATOMIC_POSITIONS crystal
Ac 0.133 0.247 0.738
Ac 0.145 0.759 0.762
Ac 0.241 0.003 0.386
Ac 0.509 0.395 0.262
Ac 0.605 0.867 0.114
Ac 0.617 0.855 0.614
Ac 0.753 0.491 0.886
Ac 0.997 0.383 0.238
Si 0.251 0.625 0.126
Si 0.375 0.501 0.626
Si 0.499 0.125 0.874
Si 0.875 0.749 0.374
Cl 0.000 0.000 0.000
Cl 0.750 0.250 0.500
```

=====

(10)
Li3Ac2TbF12 | PBE-GGA | relaxed Values from VASP.

Summary:
Its total magnetic moment is 0.00 μB/f.u. The space group is R-3m, No. 166. The formation energy without anion corrections is -3604 meV per atom.

Cell and atoms, written as Quantum ESPRESSO input:
```
&SYSTEM
  ibrav = 0, nat = 18, ntyp = 4
/
ATOMIC_SPECIES
Li 6.94 Li.upf
Ac 227.00 Ac.upf
Tb 158.93 Tb.upf
F 19.00 F.upf
CELL_PARAMETERS angstrom
3.387 1.955 5.976
-3.387 1.955 5.976
0.000 -3.911 5.976
ATOMIC_POSITIONS crystal
Li 0.000 0.500 0.500
Li 0.500 0.000 0.500
Li 0.500 0.500 0.000
Ac 0.105 0.105 0.105
Ac 0.895 0.895 0.895
Tb 0.500 0.500 0.500
F 0.078 0.657 0.657
F 0.233 0.233 0.661
F 0.233 0.661 0.233
F 0.339 0.767 0.767
F 0.343 0.343 0.922
F 0.343 0.922 0.343
F 0.657 0.078 0.657
F 0.657 0.657 0.078
F 0.661 0.233 0.233
F 0.767 0.339 0.767
F 0.767 0.767 0.339
F 0.922 0.343 0.343
```

=====

(11)
NpTaTc2 | PBE-GGA | relaxed Values from VASP.

Summary:
Its total magnetic moment is 2.22 μB/f.u. The space group is P4/mmm, No. 123. The offset from the most stable computed form comes out at 0.000 eV per atom.

Cell and atoms, written as Quantum ESPRESSO input:
```
&SYSTEM
  ibrav = 0, nat = 4, ntyp = 3
/
ATOMIC_SPECIES
Np 237.00 Np.upf
Ta 180.95 Ta.upf
Tc 98.00 Tc.upf
CELL_PARAMETERS angstrom
4.645 0.000 0.000
0.000 4.645 0.000
0.000 0.000 3.223
ATOMIC_POSITIONS crystal
Np 0.000 0.000 0.000
Ta 0.500 0.500 0.000
Tc 0.000 0.500 0.500
Tc 0.500 0.000 0.500
```

=====

(12)
KTlPCl2 | PBE-GGA | relaxed Values from VASP.

Summary:
Its total magnetic moment is 3.05 μB/f.u. The space group is P4/mmm, No. 123. The formation energy without anion corrections is -165 meV per atom. The offset from the most stable computed form comes out at 0.313 eV per atom.

Cell and atoms, written as Quantum ESPRESSO input:
```
&SYSTEM
  ibrav = 0, nat = 5, ntyp = 4
/
ATOMIC_SPECIES
K 39.10 K.upf
Tl 204.38 Tl.upf
P 30.97 P.upf
Cl 35.45 Cl.upf
CELL_PARAMETERS angstrom
5.884 0.000 0.000
0.000 5.884 0.000
0.000 0.000 5.961
ATOMIC_POSITIONS crystal
K 0.000 0.000 0.000
Tl 0.500 0.500 0.500
P 0.000 0.000 0.500
Cl 0.000 0.500 0.000
Cl 0.500 0.000 0.000
```

=====

(13)
Ag4AsO4 | PBE-GGA | relaxed Values from VASP.

Summary:
Its total magnetic moment is 0.00 μB/f.u. The space group is I4/m, No. 87. The formation energy without anion corrections is -254 meV per atom.

Cell and atoms, written as Quantum ESPRESSO input:
```
&SYSTEM
  ibrav = 0, nat = 9, ntyp = 3
/
ATOMIC_SPECIES
Ag 107.87 Ag.upf
As 74.92 As.upf
O 16.00 O.upf
CELL_PARAMETERS angstrom
-3.717 3.717 2.371
3.717 -3.717 2.371
3.717 3.717 -2.371
ATOMIC_POSITIONS crystal
Ag 0.095 0.264 0.359
Ag 0.264 0.905 0.168
Ag 0.736 0.095 0.832
Ag 0.905 0.736 0.641
As 0.500 0.500 0.000
O 0.257 0.541 0.798
O 0.459 0.257 0.715
O 0.541 0.743 0.285
O 0.743 0.459 0.202
```

=====

(14)
KNaCo3 | PBE-GGA | relaxed Values from VASP.

Summary:
Its total magnetic moment is 5.65 μB/f.u. The space group is Pm-3m, No. 221. The offset from the most stable computed form comes out at 0.000 eV per atom.

Cell and atoms, written as Quantum ESPRESSO input:
```
&SYSTEM
  ibrav = 0, nat = 5, ntyp = 3
/
ATOMIC_SPECIES
K 39.10 K.upf
Na 22.99 Na.upf
Co 58.93 Co.upf
CELL_PARAMETERS angstrom
4.935 0.000 0.000
0.000 4.935 0.000
0.000 0.000 4.935
ATOMIC_POSITIONS crystal
K 0.000 0.000 0.000
Na 0.500 0.500 0.500
Co 0.000 0.500 0.500
Co 0.500 0.000 0.500
Co 0.500 0.500 0.000
```

=====

(15)
AcSmCd | PBE-GGA | relaxed Values from VASP.

Summary:
Its total magnetic moment is 0.00 μB/f.u. The space group is P3m1, No. 156. The offset from the most stable computed form comes out at 0.112 eV per atom.

Cell and atoms, written as Quantum ESPRESSO input:
```
&SYSTEM
  ibrav = 0, nat = 3, ntyp = 3
/
ATOMIC_SPECIES
Ac 227.00 Ac.upf
Sm 150.36 Sm.upf
Cd 112.41 Cd.upf
CELL_PARAMETERS angstrom
5.481 0.000 0.000
-2.741 4.747 0.000
0.000 0.000 3.988
ATOMIC_POSITIONS crystal
Ac 0.000 0.000 0.000
Sm 0.667 0.333 0.499
Cd 0.333 0.667 0.502
```

=====

(16)
Hg2PO3F | PBE-GGA | relaxed Values from VASP.

Summary:
Its total magnetic moment is 0.00 μB/f.u. The space group is Ibam, No. 72. The formation energy without anion corrections is -1532 meV per atom.

Cell and atoms, written as Quantum ESPRESSO input:
```
&SYSTEM
  ibrav = 0, nat = 28, ntyp = 4
/
ATOMIC_SPECIES
Hg 200.59 Hg.upf
P 30.97 P.upf
O 16.00 O.upf
F 19.00 F.upf
CELL_PARAMETERS angstrom
-4.734 6.244 4.498
4.734 -6.244 4.498
4.734 6.244 -4.498
ATOMIC_POSITIONS crystal
Hg 0.115 0.004 0.687
Hg 0.182 0.496 0.111
Hg 0.318 0.428 0.313
Hg 0.385 0.072 0.889
Hg 0.615 0.928 0.111
Hg 0.682 0.572 0.687
Hg 0.818 0.504 0.889
Hg 0.885 0.996 0.313
P 0.247 0.450 0.697
P 0.253 0.950 0.203
P 0.747 0.050 0.797
P 0.753 0.550 0.303
O 0.098 0.218 0.603
O 0.115 0.718 0.119
O 0.162 0.057 0.218
O 0.338 0.557 0.895
O 0.385 0.505 0.603
O 0.402 0.005 0.119
O 0.598 0.995 0.881
O 0.615 0.495 0.397
O 0.662 0.443 0.105
O 0.838 0.943 0.782
O 0.885 0.282 0.881
O 0.902 0.782 0.397
F 0.137 0.536 0.673
F 0.363 0.036 0.399
F 0.637 0.964 0.601
F 0.863 0.464 0.327
```

=====

(17)
FeRe2Te | PBE-GGA | relaxed Values from VASP.

Summary:
Its total magnetic moment is 1.81 μB/f.u. The space group is R3m, No. 160. The formation energy without anion corrections is 565 meV per atom.

Cell and atoms, written as Quantum ESPRESSO input:
```
&SYSTEM
  ibrav = 0, nat = 12, ntyp = 3
/
ATOMIC_SPECIES
Fe 55.84 Fe.upf
Re 186.21 Re.upf
Te 127.60 Te.upf
CELL_PARAMETERS angstrom
2.942 0.000 0.000
-1.471 2.548 0.000
0.000 0.000 25.767
ATOMIC_POSITIONS crystal
Fe 0.000 0.000 0.000
Fe 0.333 0.667 0.667
Fe 0.667 0.333 0.333
Re 0.000 0.000 0.491
Re 0.000 0.000 0.745
Re 0.333 0.667 0.158
Re 0.333 0.667 0.411
Re 0.667 0.333 0.078
Re 0.667 0.333 0.825
Te 0.000 0.000 0.252
Te 0.333 0.667 0.918
Te 0.667 0.333 0.585
```

=====

(18)
K4Np6Cl19 | PBE-GGA | relaxed Values from VASP.

Summary:
Its total magnetic moment is 27.00 μB/f.u. The space group is I23, No. 197. The formation energy without anion corrections is -1686 meV per atom.

Cell and atoms, written as Quantum ESPRESSO input:
```
&SYSTEM
  ibrav = 0, nat = 29, ntyp = 3
/
ATOMIC_SPECIES
K 39.10 K.upf
Np 237.00 Np.upf
Cl 35.45 Cl.upf
CELL_PARAMETERS angstrom
-6.227 6.227 6.227
6.227 -6.227 6.227
6.227 6.227 -6.227
ATOMIC_POSITIONS crystal
K 0.000 0.000 0.285
K 0.000 0.285 0.000
K 0.285 0.000 0.000
K 0.715 0.715 0.715
Np 0.163 0.500 0.663
Np 0.337 0.837 0.500
Np 0.500 0.337 0.837
Np 0.500 0.663 0.163
Np 0.663 0.163 0.500
Np 0.837 0.500 0.337
Cl 0.000 0.000 0.000
Cl 0.000 0.350 0.350
Cl 0.000 0.650 0.650
Cl 0.028 0.696 0.285
Cl 0.257 0.667 0.972
Cl 0.285 0.028 0.696
Cl 0.304 0.333 0.589
Cl 0.333 0.589 0.304
Cl 0.350 0.000 0.350
Cl 0.350 0.350 0.000
Cl 0.411 0.743 0.715
Cl 0.589 0.304 0.333
Cl 0.650 0.000 0.650
Cl 0.650 0.650 0.000
Cl 0.667 0.972 0.257
Cl 0.696 0.285 0.028
Cl 0.715 0.411 0.743
Cl 0.743 0.715 0.411
Cl 0.972 0.257 0.667
```

=====

(19)
Tl2In2HgPb2 | PBE-GGA | relaxed Values from VASP.

Summary:
Its total magnetic moment is 0.00 μB/f.u. As for the raw total energy: -17.55 eV per formula unit. The space group is C2/m, No. 12.

Cell and atoms, written as Quantum ESPRESSO input:
```
&SYSTEM
  ibrav = 0, nat = 14, ntyp = 4
/
ATOMIC_SPECIES
Tl 204.38 Tl.upf
In 114.82 In.upf
Hg 200.59 Hg.upf
Pb 207.20 Pb.upf
CELL_PARAMETERS angstrom
17.505 0.000 0.000
0.000 3.265 0.000
-3.507 0.000 7.298
ATOMIC_POSITIONS crystal
Tl 0.214 0.000 0.279
Tl 0.286 0.500 0.721
Tl 0.714 0.500 0.279
Tl 0.786 0.000 0.721
In 0.137 0.500 0.870
In 0.363 0.000 0.130
In 0.637 0.000 0.870
In 0.863 0.500 0.130
Hg 0.000 0.000 0.000
Hg 0.500 0.500 0.000
Pb 0.074 0.500 0.417
Pb 0.426 0.000 0.583
Pb 0.574 0.000 0.417
Pb 0.926 0.500 0.583
```

=====

(20)
Pa3PtSe2 | PBE-GGA | relaxed Values from VASP.

Summary:
Its total magnetic moment is 0.00 μB/f.u. The space group is C2/m, No. 12. The formation energy without anion corrections is -1061 meV per atom.

Cell and atoms, written as Quantum ESPRESSO input:
```
&SYSTEM
  ibrav = 0, nat = 12, ntyp = 3
/
ATOMIC_SPECIES
Pa 231.04 Pa.upf
Pt 195.08 Pt.upf
Se 78.96 Se.upf
CELL_PARAMETERS angstrom
3.522 -6.097 0.000
3.522 6.097 0.000
-2.342 0.000 6.808
ATOMIC_POSITIONS crystal
Pa 0.075 0.419 0.757
Pa 0.236 0.236 0.238
Pa 0.419 0.075 0.757
Pa 0.581 0.925 0.243
Pa 0.764 0.764 0.762
Pa 0.925 0.581 0.243
Pt 0.167 0.833 0.000
Pt 0.833 0.167 0.000
Se 0.000 0.000 0.500
Se 0.338 0.662 0.500
Se 0.500 0.500 0.000
Se 0.662 0.338 0.500
```